Record 1
This record from the Alexandria database describes a relaxed structure of CsSe. The functional is PBE.

Unit cell a=6.303 b=6.303 c=7.232 alpha=90.00 beta=90.00 gamma=120.00
Positions (direct):
1 Cs 0.333 0.667 0.250
2 Cs 0.667 0.333 0.750
3 Se 0.333 0.667 0.750
4 Se 0.667 0.333 0.250

Summary:
As for the crystal system: hexagonal. The size of the total moment comes out at 1.0 μB per formula unit. The calculation puts the uncorrected formation energy at -0.4300 eV/atom.


Record 2
This record from the Alexandria database describes a relaxed structure of CsSe. The functional is PBE.

Unit cell a=9.267 b=9.267 c=9.267 alpha=109.47 beta=109.47 gamma=109.47
Positions (direct):
1 Cs 0.000 0.000 0.384
2 Cs 0.000 0.384 0.000
3 Cs 0.384 0.000 0.000
4 Cs 0.616 0.616 0.616
5 Se 0.000 0.000 0.767
6 Se 0.000 0.767 0.000
7 Se 0.233 0.233 0.233
8 Se 0.767 0.000 0.000

Summary:
As for the crystal system: cubic. The size of the total moment comes out at 1.0 μB per formula unit. The calculation puts the uncorrected formation energy at -0.4238 eV/atom.


Record 3
This record from the Alexandria database describes a relaxed structure of Cs2Se. The functional is PBE.

Unit cell a=6.802 b=5.872 c=12.000 alpha=90.00 beta=90.00 gamma=90.00
Positions (direct):
1 Cs 0.250 0.000 0.102
2 Cs 0.250 0.500 0.671
3 Cs 0.750 0.000 0.898
4 Cs 0.750 0.500 0.329
5 Se 0.250 0.000 0.808
6 Se 0.750 0.000 0.192

Summary:
As for the crystal system: orthorhombic. The size of the total moment comes out at 0.0 μB per formula unit. The calculation puts the uncorrected formation energy at -0.8767 eV/atom. The value obtained for the excess energy over the best structure of this formula in the dataset is 202 meV per atom.


- Look up the size of the total moment of the second one.
  1.0 μB per formula unit